# 1
A relaxed ZnNiTe crystal, computed with PBE.

Calculated values
The calculation puts the total moment at 0.00 μB/f.u. For the total energy, the calculation gives -19.317 eV/cell. For the density, the calculation gives 7.3 g/cm3. As for the polymorph energy (0 for the lowest one): 0.443 eV/atom. The value obtained for the uncorrected formation energy is 180 meV/atom. For the density of states at the Fermi level, the calculation gives 0.85 states/eV/atom.

Unit cell a=3.1014 b=3.1014 c=11.9226 alpha=90.00 beta=90.00 gamma=90.00
Space group I4mm (No. 107)
Unique sites:
Zn (0.0000, 0.0000, 0.0000) (multiplicity 2)
Ni (0.0000, 0.0000, 0.6132) (multiplicity 2)
Te (0.0000, 0.0000, 0.2522) (multiplicity 2)

***

# 2
A relaxed ZnNiTe2 crystal, computed with PBE.

Calculated values
The calculation puts the total moment at 0.00 μB/f.u. For the total energy, the calculation gives -26.439 eV/cell. For the density, the calculation gives 6.9 g/cm3. As for the polymorph energy (0 for the lowest one): 0.228 eV/atom. The value obtained for the uncorrected formation energy is 30 meV/atom. For the density of states at the Fermi level, the calculation gives 0.31 states/eV/atom.

Unit cell a=6.0976 b=7.8807 c=3.8178 alpha=90.00 beta=90.00 gamma=90.00
Space group Cmmm (No. 65)
Unique sites:
Zn (0.0000, 0.0000, 0.0000) (multiplicity 2)
Ni (0.0000, 0.5000, 0.0000) (multiplicity 2)
Te (0.0000, 0.2853, 0.5000) (multiplicity 4)

***

# 3
A relaxed ZnNiTe crystal, computed with PBE.

Calculated values
The calculation puts the total moment at 0.00 μB/f.u. For the total energy, the calculation gives -21.974 eV/cell. For the density, the calculation gives 6.8 g/cm3. As for the polymorph energy (0 for the lowest one): 0.000 eV/atom. The value obtained for the uncorrected formation energy is -263 meV/atom. For the density of states at the Fermi level, the calculation gives 0.65 states/eV/atom.

Unit cell a=4.1130 b=4.1130 c=8.6831 alpha=89.87 beta=76.43 gamma=60.00
Space group P1 (No. 1)
Unique sites:
Zn (0.0000, 0.0000, 0.0000) (multiplicity 1)
Zn (0.2079, 0.3951, 0.1910) (multiplicity 1)
Ni (0.5764, 0.7111, 0.1372) (multiplicity 1)
Ni (0.7987, 0.0990, 0.3070) (multiplicity 1)
Te (0.3793, 0.8081, 0.4380) (multiplicity 1)
Te (0.7758, 0.6128, 0.8339) (multiplicity 1)

***

# 4
A relaxed ZnNiTe crystal, computed with PBE.

Calculated values
The calculation puts the total moment at 0.00 μB/f.u. For the total energy, the calculation gives -10.026 eV/cell. For the density, the calculation gives 7.1 g/cm3. As for the polymorph energy (0 for the lowest one): 0.321 eV/atom. The value obtained for the uncorrected formation energy is 57 meV/atom. For the density of states at the Fermi level, the calculation gives 0.60 states/eV/atom.

Unit cell a=4.0296 b=4.0296 c=4.2038 alpha=90.00 beta=90.00 gamma=120.00
Space group P3m1 (No. 156)
Unique sites:
Zn (0.0000, 0.0000, 0.0000) (multiplicity 1)
Ni (0.6667, 0.3333, 0.2407) (multiplicity 1)
Te (0.3333, 0.6667, 0.4734) (multiplicity 1)

***

# 5
A relaxed ZnNiTe2 crystal, computed with PBE.

Calculated values
The calculation puts the total moment at 0.00 μB/f.u. For the total energy, the calculation gives -27.472 eV/cell. For the density, the calculation gives 7.3 g/cm3. As for the polymorph energy (0 for the lowest one): 0.099 eV/atom. The value obtained for the uncorrected formation energy is -99 meV/atom. For the density of states at the Fermi level, the calculation gives 0.54 states/eV/atom.

Unit cell a=4.5225 b=5.3888 c=7.1039 alpha=90.00 beta=90.00 gamma=90.00
Space group Amm2 (No. 38)
Unique sites:
Zn (0.0000, 0.0000, 0.0000) (multiplicity 2)
Ni (0.5000, 0.0000, 0.1912) (multiplicity 2)
Te (0.0000, 0.0000, 0.3760) (multiplicity 2)
Te (0.5000, 0.0000, 0.7899) (multiplicity 2)

***

# 6
A relaxed ZnNiTe3 crystal, computed with PBE.

Calculated values
The calculation puts the total moment at 0.00 μB/f.u. For the total energy, the calculation gives -14.535 eV/cell. For the density, the calculation gives 6.5 g/cm3. As for the polymorph energy (0 for the lowest one): 0.000 eV/atom. The value obtained for the uncorrected formation energy is 389 meV/atom. For the density of states at the Fermi level, the calculation gives 1.45 states/eV/atom.

Unit cell a=5.0552 b=5.0552 c=5.0552 alpha=90.00 beta=90.00 gamma=90.00
Space group Pm-3m (No. 221)
Unique sites:
Zn (0.0000, 0.0000, 0.0000) (multiplicity 1)
Ni (0.5000, 0.5000, 0.5000) (multiplicity 1)
Te (0.0000, 0.5000, 0.5000) (multiplicity 3)

***

# 7
A relaxed ZnNiTe crystal, computed with PBE.

Calculated values
The calculation puts the total moment at 0.00 μB/f.u. For the total energy, the calculation gives -21.144 eV/cell. For the density, the calculation gives 7.5 g/cm3. As for the polymorph energy (0 for the lowest one): 0.139 eV/atom. The value obtained for the uncorrected formation energy is -125 meV/atom. For the density of states at the Fermi level, the calculation gives 0.32 states/eV/atom.

Unit cell a=4.6250 b=4.1425 c=5.8650 alpha=90.00 beta=95.33 gamma=90.00
Space group P2_1/m (No. 11)
Unique sites:
Zn (0.2143, 0.2500, 0.2893) (multiplicity 2)
Ni (0.1649, 0.7500, 0.0412) (multiplicity 2)
Te (0.3059, 0.2500, 0.7519) (multiplicity 2)

***

# 8
A relaxed ZnNiTe2 crystal, computed with PBE.

Calculated values
The calculation puts the total moment at 0.00 μB/f.u. For the total energy, the calculation gives -12.262 eV/cell. For the density, the calculation gives 7.1 g/cm3. As for the polymorph energy (0 for the lowest one): 0.468 eV/atom. The value obtained for the uncorrected formation energy is 269 meV/atom. For the density of states at the Fermi level, the calculation gives 0.80 states/eV/atom.

Unit cell a=3.8014 b=3.8706 c=6.0267 alpha=90.00 beta=90.00 gamma=90.00
Space group Pmmm (No. 47)
Unique sites:
Zn (0.0000, 0.0000, 0.0000) (multiplicity 1)
Ni (0.0000, 0.5000, 0.5000) (multiplicity 1)
Te (0.5000, 0.0000, 0.5000) (multiplicity 1)
Te (0.5000, 0.5000, 0.0000) (multiplicity 1)